No. 1
ZrNbSb2 (PBE-GGA, optimized geometry); DFT total energy = -7.03 eV per atom; N(E_F) = 3.08 states/eV/cell; space group = Fm-3m; energy above the lowest structure with this stoichiometry = 0.00 eV/f.u.; formation energy without anion corrections = -1.245 eV per formula unit
1.0
0.144 -4.666 -1.604
2.358 -3.444 2.635
-2.570 -3.498 2.350
Sb Nb Zr
2 1 1
direct
0.250 0.250 0.250
0.750 0.750 0.750
0.500 0.500 0.500
0.000 0.000 0.000

=====

No. 2
ZrNbSb (PBE-GGA, optimized geometry); DFT total energy = -7.65 eV per atom; N(E_F) = 3.19 states/eV/cell; space group = P3m1; formation energy without anion corrections = -0.215 eV per formula unit
1.0
-0.069 2.500 1.613
-4.749 0.716 -1.312
1.084 -2.613 4.097
Sb Nb Zr
1 1 1
direct
0.168 0.333 0.667
0.166 0.000 0.000
0.666 0.667 0.333